[1]
Here is a relaxed Tb2ErIn3AgIr2 crystal from OQMD via LeMat-Bulk. Energies are from GGA-PBE.

## Properties
Crystal system: orthorhombic

a = 3.8463 Å, b = 13.3331 Å, c = 7.7180 Å
α = 90.00°, β = 90.00°, γ = 90.00°
Space group Amm2 (No. 38)
Asymmetric unit:
Tb (0.0000, 0.2063, 0.0000) x4
Er (0.0000, 0.0000, 0.6191) x2
In (0.5000, 0.0000, 0.9371) x2
In (0.5000, 0.1335, 0.3407) x4
Ag (0.0000, 0.0000, 0.2071) x2
Ir (0.5000, 0.1657, 0.7058) x4

***

[2]
Here is a relaxed ErTm2In3AgIr2 crystal from OQMD via LeMat-Bulk. Energies are from GGA-PBE.

## Properties
Crystal system: orthorhombic

a = 3.7789 Å, b = 13.3418 Å, c = 7.6888 Å
α = 90.00°, β = 90.00°, γ = 90.00°
Space group Amm2 (No. 38)
Asymmetric unit:
Er (0.0000, 0.0000, 0.0000) x2
Tm (0.0000, 0.2058, 0.3828) x4
In (0.5000, 0.0000, 0.3186) x2
In (0.5000, 0.1350, 0.7235) x4
Ag (0.0000, 0.0000, 0.5884) x2
Ir (0.5000, 0.1671, 0.0889) x4

***

[3]
Here is a relaxed Er2TmIn3AgIr2 crystal from OQMD via LeMat-Bulk. Energies are from GGA-PBE.

## Properties
Crystal system: orthorhombic

a = 3.7863 Å, b = 13.3233 Å, c = 7.7058 Å
α = 90.00°, β = 90.00°, γ = 90.00°
Space group Amm2 (No. 38)
Asymmetric unit:
Er (0.0000, 0.2058, 0.0000) x4
Tm (0.0000, 0.0000, 0.3824) x2
In (0.5000, 0.0000, 0.0639) x2
In (0.5000, 0.1348, 0.6592) x4
Ag (0.0000, 0.0000, 0.7940) x2
Ir (0.5000, 0.1662, 0.2945) x4

***

| no. | final energy (eV for the cell shown) |
| --- | --- |
| 1 | -96.2 |
| 2 | -95.5 |
| 3 | -95.7 |